# Rb2In2Cl5

A relaxed structure of Rb2In2Cl5 (GGA-PBE, the Alexandria database).

Lattice parameters (Å, degrees): 7.8125 7.3993 12.6427 107.02 108.00 90.00
Sites, in units of the cell vectors:
Rb 0.8733 0.3774 0.7834
Rb 0.4101 0.8774 0.7834
Rb 0.1267 0.5940 0.2166
Rb 0.5899 0.0940 0.2166
Cl 0.5698 0.6044 0.2405
Cl 0.2381 0.2232 0.9766
Cl 0.2385 0.7232 0.9766
Cl 0.7615 0.7467 0.0234
Cl 0.1491 0.6695 0.5000
Cl 0.1707 0.1044 0.2405
Cl 0.4302 0.3640 0.7595
Cl 0.8509 0.1695 0.5000
Cl 0.8293 0.8640 0.7595
Cl 0.7619 0.2467 0.0234
In 0.5000 0.4847 0.0000
In 0.7877 0.7721 0.5000
In 0.0000 0.9847 0.0000
In 0.2123 0.2721 0.5000

## Properties
The value obtained for the formation energy without anion corrections is -131.5 kJ/mol of atoms. The value obtained for the total energy is -57.8 eV/cell.

# RbIn2Cl3

A relaxed structure of RbIn2Cl3 (GGA-PBE, the Alexandria database).

Lattice parameters (Å, degrees): 4.6231 4.6253 10.2998 102.97 102.97 90.01
Sites, in units of the cell vectors:
In 0.7664 0.7681 0.5382
In 0.1021 0.1038 0.2097
Cl 0.6054 0.6061 0.2158
Cl 0.9339 0.9359 0.8739
Cl 0.2636 0.2642 0.5321
Rb 0.4340 0.4360 0.8740

## Properties
The value obtained for the formation energy without anion corrections is -113.7 kJ/mol of atoms. The value obtained for the total energy is -19.1 eV/cell. Its excess energy over the best structure of this formula in the dataset is 0 meV per atom.

# Rb6In3Cl14

A relaxed structure of Rb6In3Cl14 (GGA-PBE, the Alexandria database).

Lattice parameters (Å, degrees): 7.1702 11.6629 11.6629 120.00 90.00 90.00
Sites, in units of the cell vectors:
Cl 0.9741 0.7663 0.8484
Cl 0.4511 0.0000 0.0000
Cl 0.4971 0.2504 0.4497
Cl 0.2390 0.5879 0.4639
Cl 0.4971 0.5503 0.8007
Cl 0.2390 0.5361 0.1240
Cl 0.6463 0.7964 0.5397
Cl 0.6463 0.4603 0.2567
Cl 0.6463 0.7433 0.2036
Cl 0.2390 0.8760 0.4121
Cl 0.0322 0.3333 0.6667
Cl 0.4971 0.1993 0.7496
Cl 0.9741 0.0821 0.2337
Cl 0.9741 0.1516 0.9179
Rb 0.8000 0.0144 0.4595
Rb 0.2545 0.8081 0.0954
Rb 0.2545 0.9046 0.7126
Rb 0.8000 0.4451 0.9856
Rb 0.2545 0.2874 0.1919
Rb 0.8000 0.5405 0.5549
In 0.3669 0.3333 0.6667
In 0.8199 0.0000 0.0000
In 0.4396 0.6667 0.3333

## Properties
The value obtained for the formation energy without anion corrections is -149.2 kJ/mol of atoms. The value obtained for the total energy is -75.4 eV/cell.